# TlInPbBr6 | Alexandria via LeMat-Bulk | PBE | relaxed
# space group = P-31c (163)
# Fermi-level density of states = 0.00 states/eV per cell
# formation energy without anion corrections = -863 meV/atom
data_TlInPbBr6
_symmetry_space_group_name_H-M 'P 1'
_symmetry_Int_Tables_number 1
_symmetry_space_group_name_Hall 'P 1'
_cell_length_a 7.553
_cell_length_b 7.553
_cell_length_c 14.097
_cell_angle_alpha 90.00
_cell_angle_beta 90.00
_cell_angle_gamma 120.00
loop_
_atom_site_label
_atom_site_type_symbol
_atom_site_fract_x
_atom_site_fract_y
_atom_site_fract_z
_atom_site_occupancy
Tl1 Tl 0.000 0.000 0.000 1
Tl2 Tl 0.000 0.000 0.500 1
In1 In 0.667 0.333 0.250 1
In2 In 0.333 0.667 0.750 1
Pb1 Pb 0.333 0.667 0.250 1
Pb2 Pb 0.667 0.333 0.750 1
Br1 Br 0.651 0.617 0.136 1
Br2 Br 0.967 0.349 0.136 1
Br3 Br 0.349 0.967 0.636 1
Br4 Br 0.033 0.651 0.864 1
Br5 Br 0.383 0.349 0.364 1
Br6 Br 0.967 0.617 0.364 1
Br7 Br 0.617 0.967 0.864 1
Br8 Br 0.651 0.033 0.364 1
Br9 Br 0.033 0.383 0.636 1
Br10 Br 0.383 0.033 0.136 1
Br11 Br 0.617 0.651 0.636 1
Br12 Br 0.349 0.383 0.864 1

# Sr2ScSnO | Alexandria via LeMat-Bulk | PBE | relaxed
# energy above the lowest structure with this stoichiometry = 1.511 eV/atom
# space group = P4/mmm (123)
# Fermi-level density of states = 5.46 states/eV per cell
# formation energy without anion corrections = 165 meV/atom
data_Sr2ScSnO
_symmetry_space_group_name_H-M 'P 1'
_symmetry_Int_Tables_number 1
_symmetry_space_group_name_Hall 'P 1'
_cell_length_a 6.219
_cell_length_b 5.380
_cell_length_c 6.219
_cell_angle_alpha 90.00
_cell_angle_beta 90.00
_cell_angle_gamma 90.00
loop_
_atom_site_label
_atom_site_type_symbol
_atom_site_fract_x
_atom_site_fract_y
_atom_site_fract_z
_atom_site_occupancy
Sc1 Sc 0.000 0.500 0.000 1
Sr1 Sr 0.000 0.000 0.500 1
Sr2 Sr 0.500 0.000 0.000 1
Sn1 Sn 0.000 0.000 0.000 1
O1 O 0.500 0.500 0.500 1

# Sr2MgAs | Alexandria via LeMat-Bulk | PBE | relaxed
# energy above the lowest structure with this stoichiometry = 0.060 eV/atom
# space group = P4/mmm (123)
# Fermi-level density of states = 3.14 states/eV per cell
data_Sr2MgAs
_symmetry_space_group_name_H-M 'P 1'
_symmetry_Int_Tables_number 1
_symmetry_space_group_name_Hall 'P 1'
_cell_length_a 4.043
_cell_length_b 4.043
_cell_length_c 7.672
_cell_angle_alpha 90.00
_cell_angle_beta 90.00
_cell_angle_gamma 90.00
loop_
_atom_site_label
_atom_site_type_symbol
_atom_site_fract_x
_atom_site_fract_y
_atom_site_fract_z
_atom_site_occupancy
As1 As 0.500 0.500 0.250 1
Mg1 Mg 0.500 0.500 0.750 1
Sr1 Sr 0.000 0.000 0.038 1
Sr2 Sr 0.000 0.000 0.462 1

# Rb2Se2S | Alexandria via LeMat-Bulk | PBE | relaxed
# energy above the lowest structure with this stoichiometry = 0.277 eV/atom
# space group = P4/mbm (127)
# Fermi-level density of states = 11.60 states/eV per cell
# formation energy without anion corrections = -418 meV/atom
data_Rb2Se2S
_symmetry_space_group_name_H-M 'P 1'
_symmetry_Int_Tables_number 1
_symmetry_space_group_name_Hall 'P 1'
_cell_length_a 9.082
_cell_length_b 9.082
_cell_length_c 5.053
_cell_angle_alpha 90.00
_cell_angle_beta 90.00
_cell_angle_gamma 90.00
loop_
_atom_site_label
_atom_site_type_symbol
_atom_site_fract_x
_atom_site_fract_y
_atom_site_fract_z
_atom_site_occupancy
S1 S 0.000 0.000 0.000 1
S2 S 0.500 0.500 0.000 1
Se1 Se 0.090 0.590 0.500 1
Se2 Se 0.590 0.910 0.500 1
Se3 Se 0.910 0.410 0.500 1
Se4 Se 0.410 0.090 0.500 1
Rb1 Rb 0.308 0.808 0.000 1
Rb2 Rb 0.808 0.692 0.000 1
Rb3 Rb 0.692 0.192 0.000 1
Rb4 Rb 0.192 0.308 0.000 1

# CaPmSi2 | Alexandria via LeMat-Bulk | PBE | relaxed
# space group = P4/mmm (123)
# Fermi-level density of states = 2.09 states/eV per cell
# formation energy without anion corrections = -356 meV/atom
data_CaPmSi2
_symmetry_space_group_name_H-M 'P 1'
_symmetry_Int_Tables_number 1
_symmetry_space_group_name_Hall 'P 1'
_cell_length_a 3.300
_cell_length_b 3.300
_cell_length_c 8.365
_cell_angle_alpha 90.00
_cell_angle_beta 90.00
_cell_angle_gamma 90.00
loop_
_atom_site_label
_atom_site_type_symbol
_atom_site_fract_x
_atom_site_fract_y
_atom_site_fract_z
_atom_site_occupancy
Ca1 Ca 0.500 0.500 0.500 1
Si1 Si 0.000 0.000 0.750 1
Si2 Si 0.000 0.000 0.250 1
Pm1 Pm 0.500 0.500 0.000 1

# HgTeMoAu | Alexandria via LeMat-Bulk | PBE | relaxed
# energy above the lowest structure with this stoichiometry = 0.132 eV/atom
# space group = Cm (8)
# Fermi-level density of states = 2.64 states/eV per cell
# formation energy without anion corrections = 317 meV/atom
data_HgTeMoAu
_symmetry_space_group_name_H-M 'P 1'
_symmetry_Int_Tables_number 1
_symmetry_space_group_name_Hall 'P 1'
_cell_length_a 3.415
_cell_length_b 5.227
_cell_length_c 5.865
_cell_angle_alpha 118.16
_cell_angle_beta 90.02
_cell_angle_gamma 109.10
loop_
_atom_site_label
_atom_site_type_symbol
_atom_site_fract_x
_atom_site_fract_y
_atom_site_fract_z
_atom_site_occupancy
Hg1 Hg 0.445 0.410 0.349 1
Te1 Te 0.858 0.236 0.764 1
Mo1 Mo 0.157 0.835 0.792 1
Au1 Au 0.676 0.872 0.189 1

# Pa2CuCN5 | Alexandria via LeMat-Bulk | PBE | relaxed
# space group = P4/mbm (127)
# Fermi-level density of states = 4.99 states/eV per cell
# formation energy without anion corrections = -59 meV/atom
data_Pa2CuCN5
_symmetry_space_group_name_H-M 'P 1'
_symmetry_Int_Tables_number 1
_symmetry_space_group_name_Hall 'P 1'
_cell_length_a 4.889
_cell_length_b 6.676
_cell_length_c 6.676
_cell_angle_alpha 90.00
_cell_angle_beta 90.00
_cell_angle_gamma 90.00
loop_
_atom_site_label
_atom_site_type_symbol
_atom_site_fract_x
_atom_site_fract_y
_atom_site_fract_z
_atom_site_occupancy
Pa1 Pa 0.500 0.687 0.187 1
Pa2 Pa 0.500 0.187 0.313 1
Pa3 Pa 0.500 0.813 0.687 1
Pa4 Pa 0.500 0.313 0.813 1
Cu1 Cu 0.000 0.500 0.500 1
Cu2 Cu 0.000 0.000 0.000 1
C1 C 0.000 0.000 0.500 1
C2 C 0.000 0.500 0.000 1
N1 N 0.500 0.500 0.500 1
N2 N 0.500 0.000 0.000 1
N3 N 0.225 0.117 0.617 1
N4 N 0.225 0.883 0.383 1
N5 N 0.225 0.383 0.117 1
N6 N 0.225 0.617 0.883 1
N7 N 0.775 0.117 0.617 1
N8 N 0.775 0.617 0.883 1
N9 N 0.775 0.883 0.383 1
N10 N 0.775 0.383 0.117 1

# Cr2IrRh | Alexandria via LeMat-Bulk | PBE | relaxed
# space group = P4mm (99)
# Fermi-level density of states = 5.70 states/eV per cell
# electronic total energy = -8.8039 eV/atom
data_Cr2IrRh
_symmetry_space_group_name_H-M 'P 1'
_symmetry_Int_Tables_number 1
_symmetry_space_group_name_Hall 'P 1'
_cell_length_a 2.872
_cell_length_b 2.872
_cell_length_c 6.380
_cell_angle_alpha 90.00
_cell_angle_beta 90.00
_cell_angle_gamma 90.00
loop_
_atom_site_label
_atom_site_type_symbol
_atom_site_fract_x
_atom_site_fract_y
_atom_site_fract_z
_atom_site_occupancy
Cr1 Cr 0.000 0.000 0.032 1
Cr2 Cr 0.500 0.500 0.220 1
Ir1 Ir 0.000 0.000 0.470 1
Rh1 Rh 0.500 0.500 0.778 1

# PmSc4Al4 | Alexandria via LeMat-Bulk | PBE | relaxed
# space group = I4/m (87)
# Fermi-level density of states = 10.81 states/eV per cell
# electronic total energy = -5.1770 eV/atom
data_PmSc4Al4
_symmetry_space_group_name_H-M 'P 1'
_symmetry_Int_Tables_number 1
_symmetry_space_group_name_Hall 'P 1'
_cell_length_a 5.169
_cell_length_b 8.843
_cell_length_c 8.843
_cell_angle_alpha 90.00
_cell_angle_beta 90.00
_cell_angle_gamma 90.00
loop_
_atom_site_label
_atom_site_type_symbol
_atom_site_fract_x
_atom_site_fract_y
_atom_site_fract_z
_atom_site_occupancy
Pm1 Pm 0.000 0.000 0.000 1
Pm2 Pm 0.500 0.500 0.500 1
Sc1 Sc 0.500 0.426 0.854 1
Sc2 Sc 0.000 0.646 0.926 1
Sc3 Sc 0.500 0.574 0.146 1
Sc4 Sc 0.000 0.074 0.646 1
Sc5 Sc 0.500 0.854 0.574 1
Sc6 Sc 0.000 0.926 0.354 1
Sc7 Sc 0.000 0.354 0.074 1
Sc8 Sc 0.500 0.146 0.426 1
Al1 Al 0.500 0.904 0.200 1
Al2 Al 0.500 0.096 0.800 1
Al3 Al 0.000 0.700 0.596 1
Al4 Al 0.000 0.404 0.700 1
Al5 Al 0.000 0.596 0.300 1
Al6 Al 0.500 0.200 0.096 1
Al7 Al 0.500 0.800 0.904 1
Al8 Al 0.000 0.300 0.404 1

# KRb2TlAu | Alexandria via LeMat-Bulk | PBE | relaxed
# energy above the lowest structure with this stoichiometry = 0.000 eV/atom
# space group = P4/mmm (123)
# Fermi-level density of states = 3.17 states/eV per cell
data_KRb2TlAu
_symmetry_space_group_name_H-M 'P 1'
_symmetry_Int_Tables_number 1
_symmetry_space_group_name_Hall 'P 1'
_cell_length_a 6.683
_cell_length_b 6.683
_cell_length_c 5.889
_cell_angle_alpha 90.00
_cell_angle_beta 90.00
_cell_angle_gamma 90.00
loop_
_atom_site_label
_atom_site_type_symbol
_atom_site_fract_x
_atom_site_fract_y
_atom_site_fract_z
_atom_site_occupancy
Tl1 Tl 0.000 0.000 0.500 1
Au1 Au 0.000 0.000 0.000 1
K1 K 0.500 0.500 0.500 1
Rb1 Rb 0.000 0.500 0.000 1
Rb2 Rb 0.500 0.000 0.000 1

# Sm2BeInPt6 | Alexandria via LeMat-Bulk | PBE | relaxed
# space group = Fm-3m (225)
# Fermi-level density of states = 5.83 states/eV per cell
# electronic total energy = -5.6995 eV/atom
data_Sm2BeInPt6
_symmetry_space_group_name_H-M 'P 1'
_symmetry_Int_Tables_number 1
_symmetry_space_group_name_Hall 'P 1'
_cell_length_a 6.593
_cell_length_b 6.594
_cell_length_c 6.594
_cell_angle_alpha 60.00
_cell_angle_beta 60.00
_cell_angle_gamma 90.00
loop_
_atom_site_label
_atom_site_type_symbol
_atom_site_fract_x
_atom_site_fract_y
_atom_site_fract_z
_atom_site_occupancy
Sm1 Sm 0.750 0.250 0.500 1
Sm2 Sm 0.250 0.750 0.500 1
Be1 Be 0.000 0.000 0.000 1
In1 In 0.500 0.500 0.000 1
Pt1 Pt 0.226 0.226 0.547 1
Pt2 Pt 0.774 0.773 0.000 1
Pt3 Pt 0.226 0.774 0.000 1
Pt4 Pt 0.774 0.226 0.000 1
Pt5 Pt 0.226 0.227 0.000 1
Pt6 Pt 0.774 0.774 0.453 1

# In17Sn12 | Alexandria via LeMat-Bulk | PBE | relaxed
# space group = I-43m (217)
# Fermi-level density of states = 14.74 states/eV per cell
# electronic total energy = -3.2232 eV/atom
data_In17Sn12
_symmetry_space_group_name_H-M 'P 1'
_symmetry_Int_Tables_number 1
_symmetry_space_group_name_Hall 'P 1'
_cell_length_a 10.203
_cell_length_b 10.203
_cell_length_c 10.203
_cell_angle_alpha 109.47
_cell_angle_beta 109.47
_cell_angle_gamma 109.47
loop_
_atom_site_label
_atom_site_type_symbol
_atom_site_fract_x
_atom_site_fract_y
_atom_site_fract_z
_atom_site_occupancy
In1 In 0.000 0.410 0.689 1
In2 In 0.000 0.689 0.410 1
In3 In 0.280 0.590 0.590 1
In4 In 0.720 0.311 0.311 1
In5 In 0.689 0.410 0.000 1
In6 In 0.410 0.689 0.000 1
In7 In 0.311 0.311 0.720 1
In8 In 0.590 0.590 0.280 1
In9 In 0.311 0.720 0.311 1
In10 In 0.590 0.280 0.590 1
In11 In 0.410 0.000 0.689 1
In12 In 0.689 0.000 0.410 1
In13 In 0.000 0.656 0.000 1
In14 In 0.000 0.000 0.656 1
In15 In 0.344 0.344 0.344 1
In16 In 0.656 0.000 0.000 1
In17 In 0.000 0.000 0.000 1
Sn1 Sn 0.000 0.381 0.194 1
Sn2 Sn 0.000 0.194 0.381 1
Sn3 Sn 0.813 0.619 0.619 1
Sn4 Sn 0.187 0.806 0.806 1
Sn5 Sn 0.194 0.381 0.000 1
Sn6 Sn 0.381 0.194 0.000 1
Sn7 Sn 0.806 0.806 0.187 1
Sn8 Sn 0.619 0.619 0.813 1
Sn9 Sn 0.806 0.187 0.806 1
Sn10 Sn 0.619 0.813 0.619 1
Sn11 Sn 0.381 0.000 0.194 1
Sn12 Sn 0.194 0.000 0.381 1